Density functional theory data (PBE) for CdAs2HBr after structural relaxation.

distance to the lowest polymorph of the same formula = 687 meV/atom
magnetic moment = 2.85 μB per cell
density of states at the Fermi level = 4.855 states/eV per cell

Lattice parameters (Å, degrees): 5.2531 5.2531 5.7482 90.00 90.00 90.00
Last column: nearest neighbours and their distance in Å.
Space group P4/mmm (No. 123)
Symmetry-distinct sites (fractional):
Cd  0.0000  0.0000  0.0000 x1  4 As 2.63, 2 Br 2.87
As  0.0000  0.5000  0.0000 x2  2 Cd 2.63
H  0.5000  0.5000  0.5000 x1  4 Br 3.71, 8 As 3.89
Br  0.0000  0.0000  0.5000 x1  2 Cd 2.87

***

Density functional theory data (PBE) for Nd2SmPaSb4 after structural relaxation.

magnetic moment = 0.82 μB per cell
ΔE_f (raw) = -1003 meV per atom
density of states at the Fermi level = 6.662 states/eV per cell

Lattice parameters (Å, degrees): 7.7332 4.4656 7.7464 90.00 109.33 90.00
Last column: nearest neighbours and their distance in Å.
Space group P2/m (No. 10)
Symmetry-distinct sites (fractional):
Nd  0.0000  0.0000  0.0000 x1  6 Sb 3.21-3.22
Nd  0.5000  0.5000  0.0000 x1  6 Sb 3.17-3.18
Sm  0.0000  0.5000  0.5000 x1  6 Sb 3.14-3.15
Pa  0.5000  0.0000  0.5000 x1  6 Sb 3.10-3.12
Sb  0.2524  0.0000  0.7430 x2  1 Pa 3.10, 2 Sm 3.15, 3 Nd 3.18-3.22
Sb  0.2560  0.5000  0.2583 x2  2 Pa 3.12, 1 Sm 3.14, 3 Nd 3.17-3.21

***

Density functional theory data (PBE) for KTl2In after structural relaxation.

magnetic moment = 0.00 μB per cell
density of states at the Fermi level = 7.288 states/eV per cell
formation energy from the elements = 0.015 eV per atom

Lattice parameters (Å, degrees): 3.6482 3.6482 33.5078 90.00 90.00 120.00
Last column: nearest neighbours and their distance in Å.
Space group R-3m (No. 166, hexagonal axes)
Symmetry-distinct sites (fractional):
K  0.0000  0.0000  0.0000 x3  6 K 3.65, 6 Tl 3.67
Tl  0.0000  0.0000  0.2436 x6  3 In 3.33, 6 Tl 3.65, 3 K 3.67
In  0.0000  0.0000  0.5000 x3  6 Tl 3.33, 6 In 3.65

***

Density functional theory data (PBE) for Sr3U2CuAs6 after structural relaxation.

magnetic moment = 1.87 μB per cell
density of states at the Fermi level = 12.522 states/eV per cell
formation energy from the elements = -0.702 eV per atom

Lattice parameters (Å, degrees): 7.2643 12.5758 7.4072 90.00 108.89 90.00
Last column: nearest neighbours and their distance in Å.
Space group C2/m (No. 12)
Symmetry-distinct sites (fractional):
Sr  0.0000  0.0000  0.0000 x2  6 As 3.13-3.19
Sr  0.0000  0.3375  0.0000 x4  6 As 3.16-3.18
U  0.0000  0.1673  0.5000 x4  6 As 2.80-2.81
Cu  0.0000  0.5000  0.5000 x2  6 As 2.86-2.88
As  0.2294  0.0000  0.7081 x4  2 U 2.81, 1 Cu 2.86, 1 Sr 3.13
As  0.2401  0.3296  0.7094 x8  2 U 2.80-2.81, 1 Cu 2.88

***

Density functional theory data (PBE) for Nd6Ho4Mg after structural relaxation.

magnetic moment = 0.00 μB per cell
density of states at the Fermi level = 27.915 states/eV per cell
formation energy from the elements = 0.267 eV per atom

Lattice parameters (Å, degrees): 6.5635 6.5635 17.2535 90.00 90.00 90.00
Last column: nearest neighbours and their distance in Å.
Space group I-42m (No. 121)
Symmetry-distinct sites (fractional):
Nd  0.0000  0.5000  0.0000 x4  2 Mg 3.28, 4 Nd 3.36
Nd  0.1736  0.1736  0.1345 x8  3 Nd 3.22-3.36, 5 Ho 3.35-3.53
Ho  0.1815  0.1815  0.3285 x8  5 Nd 3.35-3.53, 1 Ho 3.37, 1 Mg 3.41
Mg  0.0000  0.0000  0.5000 x2  4 Nd 3.28, 4 Ho 3.41

***

Density functional theory data (PBE) for TlHgPb3 after structural relaxation.

distance to the lowest polymorph of the same formula = 0 meV/atom
magnetic moment = 0.00 μB per cell
density of states at the Fermi level = 3.955 states/eV per cell
formation energy from the elements = 0.004 eV per atom

Lattice parameters (Å, degrees): 7.2906 5.1278 8.0966 90.00 91.58 90.00
Last column: nearest neighbours and their distance in Å.
Space group P2_1/m (No. 11)
Symmetry-distinct sites (fractional):
Tl  0.0368  0.2500  0.3502 x2  3 Hg 3.38-3.58, 7 Pb 3.42-3.59, 2 Tl 3.58
Hg  0.2459  0.2500  0.7550 x2  7 Pb 3.27-3.64, 3 Tl 3.38-3.58
Pb  0.1460  0.7500  0.0582 x2  3 Hg 3.27-3.64, 6 Pb 3.40-3.50, 3 Tl 3.53-3.59
Pb  0.3635  0.7500  0.4400 x2  1 Hg 3.29, 6 Pb 3.37-3.54, 3 Tl 3.42-3.56
Pb  0.4570  0.2500  0.1537 x2  8 Pb 3.40-3.64, 3 Hg 3.42-3.54, 1 Tl 3.49